Record 1
# Na3DyO3

A relaxed Na3DyO3 crystal (PBE, the Alexandria database).

CIF file:
```
data_Na3DyO3
_chemical_formula_sum 'Na12 Dy4 O12'
_cell_length_a 6.733
_cell_length_b 6.988
_cell_length_c 9.940
_cell_angle_alpha 90.00
_cell_angle_beta 90.00
_cell_angle_gamma 90.00
_symmetry_space_group_name_H-M 'I m m a'
_symmetry_Int_Tables_number 74
_symmetry_space_group_name_Hall '-I 2b 2'
loop_
_atom_site_label
_atom_site_fract_x
_atom_site_fract_y
_atom_site_fract_z
Na1 0.000 0.250 0.223
Na2 0.220 0.000 0.000
Dy1 0.000 0.250 0.780
O1 0.000 0.250 0.991
O2 0.250 0.031 0.750
```

Computed properties:
Energy relative to the elements, uncorrected: -2033 meV/atom

Record 2
# VH3Pt

A relaxed VH3Pt crystal (PBE, the Alexandria database).

CIF file:
```
data_VH3Pt
_chemical_formula_sum 'V1 H3 Pt1'
_cell_length_a 3.546
_cell_length_b 3.546
_cell_length_c 3.546
_cell_angle_alpha 90.00
_cell_angle_beta 90.00
_cell_angle_gamma 90.00
_symmetry_space_group_name_H-M 'P m -3 m'
_symmetry_Int_Tables_number 221
_symmetry_space_group_name_Hall '-P 4 2 3'
loop_
_atom_site_label
_atom_site_fract_x
_atom_site_fract_y
_atom_site_fract_z
V1 0.000 0.000 0.000
H1 0.000 0.500 0.500
Pt1 0.500 0.500 0.500
```

Computed properties:
E_tot: -4.912 eV/atom